Density functional theory data (PBE) for a relaxed structure of Li4GaBiAu2.

Values from the calculation:
Space-group type: P-4m2
Raw total energy in Ha/atom: -0.11613
Volume in A^3/atom: 16.944

Unit cell a=4.4736 b=4.4736 c=6.7732 alpha=90.00 beta=90.00 gamma=90.00
Element x y z (fractional)
Li 0.0000 0.0000 0.0000
Li 0.0000 0.5000 0.7228
Li 0.5000 0.0000 0.2772
Li 0.5000 0.5000 0.5000
Ga 0.0000 0.0000 0.5000
Bi 0.5000 0.5000 0.0000
Au 0.0000 0.5000 0.2894
Au 0.5000 0.0000 0.7106


Density functional theory data (PBE) for a relaxed structure of GdBiAu2.

Values from the calculation:
Space-group type: Amm2
Raw total energy in Ha/atom: -0.15879
Total magnetic moment in Bohr magnetons per cell: 0.02
Volume in A^3/atom: 24.440

Unit cell a=4.5881 b=3.8184 c=11.1603 alpha=90.00 beta=90.00 gamma=90.00
Element x y z (fractional)
Gd 0.0000 0.0000 0.0000
Gd 0.0000 0.5000 0.5000
Bi 0.5000 0.0000 0.2928
Bi 0.5000 0.5000 0.7928
Au 0.0000 0.0000 0.7196
Au 0.0000 0.5000 0.2196
Au 0.5000 0.0000 0.5604
Au 0.5000 0.5000 0.0604


Density functional theory data (PBE) for a relaxed structure of Gd5BiAu2.

Values from the calculation:
Space-group type: I4/mcm
Raw total energy in Ha/atom: -0.16774
Total magnetic moment in Bohr magnetons per cell: 0.01
Volume in A^3/atom: 30.523

Unit cell a=10.1075 b=10.1075 c=10.1075 alpha=136.19 beta=136.19 gamma=63.69
Element x y z (fractional)
Gd 0.0000 0.0000 0.0000
Gd 0.0050 0.5050 0.1774
Gd 0.1724 0.9950 0.5000
Gd 0.3276 0.8276 0.8226
Gd 0.4950 0.6724 0.5000
Gd 0.5000 0.5000 0.0000
Gd 0.5050 0.3276 0.5000
Gd 0.6724 0.1724 0.1774
Gd 0.8276 0.0050 0.5000
Gd 0.9950 0.4950 0.8226
Bi 0.2500 0.2500 0.0000
Bi 0.7500 0.7500 0.0000
Au 0.1257 0.6257 0.7514
Au 0.3743 0.1257 0.5000
Au 0.6257 0.8743 0.5000
Au 0.8743 0.3743 0.2486


Density functional theory data (PBE) for a relaxed structure of GdHoBi4Au2.

Values from the calculation:
Space-group type: P4mm
Raw total energy in Ha/atom: -0.16582
Total magnetic moment in Bohr magnetons per cell: 0.00
Volume in A^3/atom: 26.138

Unit cell a=4.6221 b=4.6221 c=9.7876 alpha=90.00 beta=90.00 gamma=90.00
Element x y z (fractional)
Gd 0.0000 0.0000 0.0000
Ho 0.5000 0.5000 0.5419
Bi 0.0000 0.0000 0.5687
Bi 0.0000 0.5000 0.2716
Bi 0.5000 0.0000 0.2716
Bi 0.5000 0.5000 0.9682
Au 0.0000 0.5000 0.7667
Au 0.5000 0.0000 0.7667


Density functional theory data (PBE) for a relaxed structure of LaGdBi4Au2.

Values from the calculation:
Space-group type: P4mm
Raw total energy in Ha/atom: -0.17036
Total magnetic moment in Bohr magnetons per cell: 0.00
Volume in A^3/atom: 27.099

Unit cell a=4.7231 b=4.7231 c=9.7180 alpha=90.00 beta=90.00 gamma=90.00
Element x y z (fractional)
La 0.0000 0.0000 0.0000
Gd 0.5000 0.5000 0.5344
Bi 0.0000 0.0000 0.5689
Bi 0.0000 0.5000 0.2708
Bi 0.5000 0.0000 0.2708
Bi 0.5000 0.5000 0.9490
Au 0.0000 0.5000 0.7566
Au 0.5000 0.0000 0.7566


Density functional theory data (PBE) for a relaxed structure of LaGdBi2Sb2Au2.

Values from the calculation:
Space-group type: P4mm
Raw total energy in Ha/atom: -0.17396
Total magnetic moment in Bohr magnetons per cell: 0.00
Volume in A^3/atom: 26.565

Unit cell a=4.5504 b=4.5504 c=10.2634 alpha=90.00 beta=90.00 gamma=90.00
Element x y z (fractional)
La 0.0000 0.0000 0.0000
Gd 0.5000 0.5000 0.5196
Bi 0.0000 0.5000 0.2650
Bi 0.5000 0.0000 0.2650
Sb 0.0000 0.0000 0.5747
Sb 0.5000 0.5000 0.9294
Au 0.0000 0.5000 0.7505
Au 0.5000 0.0000 0.7505


Density functional theory data (PBE) for a relaxed structure of NdGdBi2Sb2Au2.

Values from the calculation:
Space-group type: P4mm
Raw total energy in Ha/atom: -0.17186
Total magnetic moment in Bohr magnetons per cell: 0.00
Volume in A^3/atom: 26.070

Unit cell a=4.5233 b=4.5233 c=10.1934 alpha=90.00 beta=90.00 gamma=90.00
Element x y z (fractional)
Nd 0.0000 0.0000 0.0000
Gd 0.5000 0.5000 0.5173
Bi 0.0000 0.5000 0.2614
Bi 0.5000 0.0000 0.2614
Sb 0.0000 0.0000 0.5738
Sb 0.5000 0.5000 0.9344
Au 0.0000 0.5000 0.7530
Au 0.5000 0.0000 0.7530


Density functional theory data (PBE) for a relaxed structure of PrGdBi4Au2.

Values from the calculation:
Space-group type: P4mm
Raw total energy in Ha/atom: -0.16862
Total magnetic moment in Bohr magnetons per cell: 0.00
Volume in A^3/atom: 27.119

Unit cell a=4.6489 b=4.6489 c=10.0385 alpha=90.00 beta=90.00 gamma=90.00
Element x y z (fractional)
Pr 0.0000 0.0000 0.0000
Gd 0.5000 0.5000 0.4669
Bi 0.0000 0.0000 0.4326
Bi 0.0000 0.5000 0.7309
Bi 0.5000 0.0000 0.7309
Bi 0.5000 0.5000 0.0471
Au 0.0000 0.5000 0.2425
Au 0.5000 0.0000 0.2425


Look up the volume of the fifth one. 27.099 A^3/atom